# AlRh PBE relaxed
# - E_form: -0.62 eV/atom
# - Crystal system: orthorhombic
# - Electronic total energy: -6.167 eV per atom
# - Total magnetization: 0.000 μB/atom
data_AlRh
_cell_length_a 5.7127
_cell_length_b 7.3657
_cell_length_c 8.1308
_cell_angle_alpha 90.00
_cell_angle_beta 90.00
_cell_angle_gamma 90.00
_space_group_name_H-M_alt 'C m m 2'
_space_group_IT_number 35
_space_group_name_Hall 'C 2 -2'
loop_
_atom_site_label
_atom_site_type_symbol
_atom_site_fract_x
_atom_site_fract_y
_atom_site_fract_z
Al1 Al 0.0000 0.0000 0.0000
Al2 Al 0.0000 0.0000 0.3221
Al3 Al 0.0000 0.0000 0.6436
Al4 Al 0.0000 0.5000 0.0124
Al5 Al 0.2500 0.2500 0.8194
Rh1 Rh 0.0000 0.5000 0.3369
Rh2 Rh 0.0000 0.5000 0.6874
Rh3 Rh 0.2500 0.2500 0.1404
Rh4 Rh 0.2500 0.2500 0.4954